This record from Alexandria describes crystalline LiMnBe2O4 at its relaxed geometry. The functional is PBE+U.

a = 3.781 Å, b = 5.273 Å, c = 5.273 Å
α = 114.66°, β = 68.99°, γ = 68.99°
Each line ends with the local moment (μB).
Fractional positions:
O1 0.013 0.395 0.101  -0.02
Be1 0.500 0.752 0.248  0.01
Be2 0.500 0.248 0.752  0.01
Li1 0.000 0.000 0.000  0.00
O2 0.987 0.899 0.605  -0.02
O3 0.491 0.101 0.395  -0.02
Mn1 0.000 0.500 0.500  3.89
O4 0.509 0.605 0.899  -0.02

Output
Electronic total energy = -6.67 eV per atom
Space group = No. 23
Total magnetization = 4.00 μB per cell